Computed, not measured: PuFeGeH2 after structural relaxation at the GGA-PBE level of DFT.

Unit cell a=5.5901 b=5.5901 c=5.5869 alpha=90.00 beta=90.00 gamma=139.54
Element x y z (fractional)
Pu (0.2105, 0.7895, 0.7500)
Pu (0.7895, 0.2105, 0.2500)
Fe (0.5000, 0.5000, 0.0000)
Fe (0.5000, 0.5000, 0.5000)
Ge (0.0704, 0.9296, 0.2500)
Ge (0.9296, 0.0704, 0.7500)
H (0.3471, 0.6529, 0.0624)
H (0.3471, 0.6529, 0.4376)
H (0.6529, 0.3471, 0.5624)
H (0.6529, 0.3471, 0.9376)

Properties
- Space group: No. 63
- Calculated total energy: -7.171 eV per atom
- Fermi-level density of states: 10.228 states/eV/f.u.

---

Computed, not measured: Fe2ReGeH after structural relaxation at the GGA-PBE level of DFT.

Unit cell a=3.7448 b=3.7448 c=3.9099 alpha=90.00 beta=90.00 gamma=90.00
Element x y z (fractional)
Fe (0.0000, 0.5000, 0.0000)
Fe (0.5000, 0.0000, 0.0000)
Re (0.0000, 0.0000, 0.5000)
Ge (0.5000, 0.5000, 0.5000)
H (0.0000, 0.0000, 0.0000)

Properties
- Space group: No. 123
- Calculated total energy: -7.315 eV per atom
- Fermi-level density of states: 5.240 states/eV/f.u.

---

Computed, not measured: ScFe2GeH after structural relaxation at the GGA-PBE level of DFT.

Unit cell a=3.8180 b=3.8180 c=4.1114 alpha=90.00 beta=90.00 gamma=90.00
Element x y z (fractional)
Sc (0.0000, 0.0000, 0.0000)
Fe (0.0000, 0.5000, 0.5000)
Fe (0.5000, 0.0000, 0.5000)
Ge (0.5000, 0.5000, 0.0000)
H (0.0000, 0.0000, 0.5000)

Properties
- E above lowest polymorph: 150 meV/atom
- Space group: No. 123
- Fermi-level density of states: 4.315 states/eV/f.u.